LiAg3Se | PBE | relaxed

```
5
Lattice="5.117 0.000 0.000 0.000 5.117 0.000 0.000 0.000 5.117" Properties=species:S:1:pos:R:3 pbc="T T T"
Ag 0.000 0.000 2.558
Li 2.558 2.558 2.558
Ag 0.000 2.558 0.000
Se 0.000 0.000 0.000
Ag 2.558 0.000 0.000
```

Computed properties:
Its offset from the most stable computed form is 0.0000 eV/atom. The raw total energy is -0.18425 Ry per atom. Its formation energy without anion corrections is 284 meV/atom.

***

NaFeSn2 | PBE | relaxed

```
4
Lattice="-0.691 0.817 -3.027 0.378 -3.056 -0.911 -8.080 -1.434 1.458" Properties=species:S:1:pos:R:3 pbc="T T T"
Sn -6.499 -1.154 1.173
Sn -1.581 -0.281 0.285
Fe -0.157 -1.119 -1.969
Na -4.197 -1.837 -1.240
```

Computed properties:
The calculation puts the formation energy from the elements at 0.1 eV/f.u. The raw total energy is -0.32507 Ry per atom.

***

Copy entry 1 word for word.
LiAg3Se | PBE | relaxed

```
5
Lattice="5.117 0.000 0.000 0.000 5.117 0.000 0.000 0.000 5.117" Properties=species:S:1:pos:R:3 pbc="T T T"
Ag 0.000 0.000 2.558
Li 2.558 2.558 2.558
Ag 0.000 2.558 0.000
Se 0.000 0.000 0.000
Ag 2.558 0.000 0.000
```

Computed properties:
Its offset from the most stable computed form is 0.0000 eV/atom. The raw total energy is -0.18425 Ry per atom. Its formation energy without anion corrections is 284 meV/atom.

***

Which formula does entry 1 have?
LiAg3Se

***

Look up the raw total energy of the second one.
-0.32507 Ry per atom

***

Which value of raw total energy does entry 1 give?
-0.18425 Ry per atom